No. 1
Here is a relaxed structure of Nd2HfP3Rh4 from Alexandria via LeMat-Bulk. Energies are from GGA-PBE.

a = 4.0294 Å, b = 4.0294 Å, c = 10.8883 Å
α = 90.00°, β = 90.00°, γ = 90.00°
Atoms (fractional coordinates):
Nd 0.5000 0.0000 0.2256
Nd 0.0000 0.5000 0.7744
Hf 0.5000 0.5000 0.5000
P 0.0000 0.0000 0.5000
P 0.5000 0.0000 0.8686
P 0.0000 0.5000 0.1314
Rh 0.5000 0.5000 0.0000
Rh 0.0000 0.0000 0.0000
Rh 0.5000 0.0000 0.6484
Rh 0.0000 0.5000 0.3516


No. 2
Here is a relaxed structure of Nd2HfThP4 from Alexandria via LeMat-Bulk. Energies are from GGA-PBE.

a = 4.0378 Å, b = 6.9796 Å, c = 7.0299 Å
α = 109.28°, β = 90.00°, γ = 90.00°
Atoms (fractional coordinates):
Nd 0.5000 0.0000 0.5000
Nd 0.0000 0.5000 0.5000
Hf 0.0000 0.0000 0.0000
Th 0.5000 0.5000 0.0000
P 0.5000 0.2287 0.2275
P 0.5000 0.7713 0.7725
P 0.0000 0.2391 0.7633
P 0.0000 0.7609 0.2367


No. 3
Here is a relaxed structure of Nd2TmHfP4 from Alexandria via LeMat-Bulk. Energies are from GGA-PBE.

a = 3.9738 Å, b = 6.8892 Å, c = 6.9168 Å
α = 109.21°, β = 90.00°, γ = 90.00°
Atoms (fractional coordinates):
Nd 0.5000 0.0000 0.5000
Nd 0.0000 0.5000 0.5000
Tm 0.5000 0.5000 0.0000
Hf 0.0000 0.0000 0.0000
P 0.5000 0.2340 0.2250
P 0.5000 0.7660 0.7750
P 0.0000 0.2481 0.7703
P 0.0000 0.7519 0.2297


No. 4
Here is a relaxed structure of Nd2YHfP4 from Alexandria via LeMat-Bulk. Energies are from GGA-PBE.

a = 3.9904 Å, b = 6.9207 Å, c = 6.9408 Å
α = 109.20°, β = 90.00°, γ = 90.00°
Atoms (fractional coordinates):
Nd 0.5000 0.0000 0.5000
Nd 0.0000 0.5000 0.5000
Y 0.5000 0.5000 0.0000
Hf 0.0000 0.0000 0.0000
P 0.5000 0.2324 0.2262
P 0.5000 0.7676 0.7738
P 0.0000 0.2450 0.7676
P 0.0000 0.7550 0.2324


No. 5
Here is a relaxed structure of Nd2HfZrP4 from Alexandria via LeMat-Bulk. Energies are from GGA-PBE.

a = 3.9061 Å, b = 6.7711 Å, c = 6.8776 Å
α = 109.21°, β = 90.00°, γ = 90.00°
Atoms (fractional coordinates):
Nd 0.5000 0.0000 0.5000
Nd 0.0000 0.5000 0.5000
Hf 0.0000 0.0000 0.0000
Zr 0.5000 0.5000 0.0000
P 0.5000 0.2382 0.2218
P 0.5000 0.7618 0.7782
P 0.0000 0.2566 0.7765
P 0.0000 0.7434 0.2235


No. 6
Here is a relaxed structure of NdHfPb2 from Alexandria via LeMat-Bulk. Energies are from GGA-PBE.

a = 4.8828 Å, b = 4.8828 Å, c = 6.1828 Å
α = 66.74°, β = 66.74°, γ = 60.00°
Atoms (fractional coordinates):
Pb 0.7629 0.7629 0.7114
Pb 0.2371 0.2371 0.2886
Nd 0.0000 0.0000 0.0000
Hf 0.5000 0.5000 0.5000


No. 7
Here is a relaxed structure of NdHfPb2 from Alexandria via LeMat-Bulk. Energies are from GGA-PBE.

a = 3.4211 Å, b = 3.4211 Å, c = 9.0517 Å
α = 90.00°, β = 90.00°, γ = 90.00°
Site moments in Bohr magnetons follow the coordinates.
Atoms (fractional coordinates):
Pb 0.0000 0.0000 0.7683  0.00
Pb 0.0000 0.0000 0.2317  0.00
Nd 0.5000 0.5000 0.5000  0.10
Hf 0.5000 0.5000 0.0000  0.01


No. 8
Here is a relaxed structure of NdHfPd6 from Alexandria via LeMat-Bulk. Energies are from GGA-PBE.

a = 4.1036 Å, b = 4.1036 Å, c = 8.2153 Å
α = 90.00°, β = 90.00°, γ = 90.00°
Atoms (fractional coordinates):
Nd 0.0000 0.0000 0.0000
Hf 0.0000 0.0000 0.5000
Pd 0.5000 0.5000 0.0000
Pd 0.5000 0.5000 0.5000
Pd 0.5000 0.0000 0.2661
Pd 0.5000 0.0000 0.7339
Pd 0.0000 0.5000 0.2661
Pd 0.0000 0.5000 0.7339


No. 9
Here is a relaxed structure of Nd2HfPd from Alexandria via LeMat-Bulk. Energies are from GGA-PBE.

a = 3.6023 Å, b = 3.6023 Å, c = 8.0244 Å
α = 90.00°, β = 90.00°, γ = 90.00°
Atoms (fractional coordinates):
Nd 0.0000 0.0000 0.7771
Nd 0.0000 0.0000 0.2229
Hf 0.5000 0.5000 0.5000
Pd 0.5000 0.5000 0.0000


No. 10
Here is a relaxed structure of Nd2HfPd9 from Alexandria via LeMat-Bulk. Energies are from GGA-PBE.

a = 4.1304 Å, b = 4.1304 Å, c = 12.4581 Å
α = 90.00°, β = 90.00°, γ = 90.00°
Atoms (fractional coordinates):
Nd 0.0000 0.0000 0.3289
Nd 0.0000 0.0000 0.6711
Hf 0.0000 0.0000 0.0000
Pd 0.5000 0.5000 0.0000
Pd 0.5000 0.5000 0.3263
Pd 0.5000 0.5000 0.6737
Pd 0.5000 0.0000 0.1528
Pd 0.5000 0.0000 0.5000
Pd 0.5000 0.0000 0.8472
Pd 0.0000 0.5000 0.1528
Pd 0.0000 0.5000 0.5000
Pd 0.0000 0.5000 0.8472


No. 11
Here is a relaxed structure of NdHfPdRh from Alexandria via LeMat-Bulk. Energies are from GGA-PBE.

a = 4.8607 Å, b = 4.8607 Å, c = 4.8607 Å
α = 60.00°, β = 60.00°, γ = 60.00°
Atoms (fractional coordinates):
Nd 0.0000 0.0000 0.0000
Rh 0.7500 0.7500 0.7500
Hf 0.5000 0.5000 0.5000
Pd 0.2500 0.2500 0.2500


No. 12
Here is a relaxed structure of Pm2NdHf from Alexandria via LeMat-Bulk. Energies are from GGA-PBE.

a = 3.3995 Å, b = 3.3995 Å, c = 12.4680 Å
α = 82.16°, β = 82.16°, γ = 60.00°
Atoms (fractional coordinates):
Nd 0.5000 0.5000 0.5000
Hf 0.0000 0.0000 0.0000
Pm 0.0842 0.0842 0.7475
Pm 0.9158 0.9158 0.2525


no.,E_form (eV/f.u.),total moment (μB/f.u.),Fermi-level density of states (states/eV per atom)
1,-10.7,0.00,0.53
2,-11.5,0.00,0.47
3,-11.9,0.00,0.18
4,-11.9,0.00,0.18
5,-11.3,0.00,0.47
6,-0.6,0.00,0.71
7,-0.7,0.19,0.69
8,-6.7,0.00,0.13
9,-0.8,0.00,1.13
10,-9.7,0.00,0.45
11,-2.3,0.00,1.38
12,1.6,0.00,1.38